LiOs2Rh at its PBEsol-relaxed geometry. Source: Alexandria, functional SCAN.

Calculated values
- magnetic moment (Bohr magnetons per cell) = 0.0
- ΔE to the lowest computed polymorph (kcal/mol of atoms) = 1.51
- N(E_F) (states/eV/atom) = 0.61
- calculated formation energy (eV per atom) = 0.176
- DFT total energy (hartree per atom) = -1.64653

```
data_LiOs2Rh
_chemical_formula_sum 'Li1 Os2 Rh1'
_symmetry_space_group_name_H-M 'P 1'
_symmetry_Int_Tables_number 1
_symmetry_space_group_name_Hall 'P 1'
_cell_length_a 2.6616
_cell_length_b 2.6616
_cell_length_c 9.1317
_cell_angle_alpha 81.62
_cell_angle_beta 81.62
_cell_angle_gamma 60.00
loop_
_atom_site_label
_atom_site_fract_x
_atom_site_fract_y
_atom_site_fract_z
Rh1 0.5000 0.5000 0.5000
Os1 0.7525 0.7525 0.7426
Os2 0.2475 0.2475 0.2574
Li1 0.0000 0.0000 0.0000
```

=====

LiOs2Rh at its PBEsol-relaxed geometry. Source: Alexandria, functional SCAN.

Calculated values
- magnetic moment (Bohr magnetons per cell) = 0.0
- ΔE to the lowest computed polymorph (kcal/mol of atoms) = 5.74
- N(E_F) (states/eV/atom) = 0.88
- calculated formation energy (eV per atom) = 0.359
- DFT total energy (hartree per atom) = -1.63979

```
data_LiOs2Rh
_chemical_formula_sum 'Li1 Os2 Rh1'
_symmetry_space_group_name_H-M 'P 1'
_symmetry_Int_Tables_number 1
_symmetry_space_group_name_Hall 'P 1'
_cell_length_a 2.6118
_cell_length_b 2.6118
_cell_length_c 8.0699
_cell_angle_alpha 90.00
_cell_angle_beta 90.00
_cell_angle_gamma 90.00
loop_
_atom_site_label
_atom_site_fract_x
_atom_site_fract_y
_atom_site_fract_z
Rh1 0.5000 0.5000 0.0000
Os1 0.0000 0.0000 0.7582
Os2 0.0000 0.0000 0.2418
Li1 0.5000 0.5000 0.5000
```

=====

Li2OsRu at its PBEsol-relaxed geometry. Source: Alexandria, functional SCAN.

Calculated values
- magnetic moment (Bohr magnetons per cell) = 0.0
- ΔE to the lowest computed polymorph (kcal/mol of atoms) = 0.05
- N(E_F) (states/eV/atom) = 0.57
- calculated formation energy (eV per atom) = 0.144
- DFT total energy (hartree per atom) = -1.01898

```
data_Li2OsRu
_chemical_formula_sum 'Li2 Os1 Ru1'
_symmetry_space_group_name_H-M 'P 1'
_symmetry_Int_Tables_number 1
_symmetry_space_group_name_Hall 'P 1'
_cell_length_a 2.5565
_cell_length_b 2.5565
_cell_length_c 9.1018
_cell_angle_alpha 90.00
_cell_angle_beta 90.00
_cell_angle_gamma 115.91
loop_
_atom_site_label
_atom_site_fract_x
_atom_site_fract_y
_atom_site_fract_z
Li1 0.0000 0.0000 0.7511
Li2 0.0000 0.0000 0.2489
Os1 0.5000 0.5000 0.5000
Ru1 0.5000 0.5000 0.0000
```

=====

LiOs2Ru at its PBEsol-relaxed geometry. Source: Alexandria, functional SCAN.

Calculated values
- magnetic moment (Bohr magnetons per cell) = 0.0
- N(E_F) (states/eV/atom) = 0.84
- calculated formation energy (eV per atom) = 0.254
- DFT total energy (hartree per atom) = -1.65334

```
data_LiOs2Ru
_chemical_formula_sum 'Li1 Os2 Ru1'
_symmetry_space_group_name_H-M 'P 1'
_symmetry_Int_Tables_number 1
_symmetry_space_group_name_Hall 'P 1'
_cell_length_a 2.6465
_cell_length_b 3.9918
_cell_length_c 5.0776
_cell_angle_alpha 90.00
_cell_angle_beta 104.07
_cell_angle_gamma 90.00
loop_
_atom_site_label
_atom_site_fract_x
_atom_site_fract_y
_atom_site_fract_z
Li1 0.5000 0.5000 0.5000
Os1 0.9057 0.0000 0.7349
Os2 0.0943 0.0000 0.2651
Ru1 0.5000 0.5000 0.0000
```

=====

LiOsRu2 at its PBEsol-relaxed geometry. Source: Alexandria, functional SCAN.

Calculated values
- magnetic moment (Bohr magnetons per cell) = 0.0
- ΔE to the lowest computed polymorph (kcal/mol of atoms) = 0.00
- N(E_F) (states/eV/atom) = 0.85
- calculated formation energy (eV per atom) = 0.177
- DFT total energy (hartree per atom) = -1.31576

```
data_LiOsRu2
_chemical_formula_sum 'Li1 Os1 Ru2'
_symmetry_space_group_name_H-M 'P 1'
_symmetry_Int_Tables_number 1
_symmetry_space_group_name_Hall 'P 1'
_cell_length_a 4.1906
_cell_length_b 4.1906
_cell_length_c 4.1906
_cell_angle_alpha 60.00
_cell_angle_beta 60.00
_cell_angle_gamma 60.00
loop_
_atom_site_label
_atom_site_fract_x
_atom_site_fract_y
_atom_site_fract_z
Ru1 0.2500 0.2500 0.2500
Ru2 0.7500 0.7500 0.7500
Li1 0.0000 0.0000 0.0000
Os1 0.5000 0.5000 0.5000
```

=====

LiOs2Ru at its PBEsol-relaxed geometry. Source: Alexandria, functional SCAN.

Calculated values
- magnetic moment (Bohr magnetons per cell) = 0.0
- N(E_F) (states/eV/atom) = 1.11
- calculated formation energy (eV per atom) = 0.473
- DFT total energy (hartree per atom) = -1.64531

```
data_LiOs2Ru
_chemical_formula_sum 'Li1 Os2 Ru1'
_symmetry_space_group_name_H-M 'P 1'
_symmetry_Int_Tables_number 1
_symmetry_space_group_name_Hall 'P 1'
_cell_length_a 3.6915
_cell_length_b 3.6915
_cell_length_c 3.8767
_cell_angle_alpha 90.00
_cell_angle_beta 90.00
_cell_angle_gamma 90.00
loop_
_atom_site_label
_atom_site_fract_x
_atom_site_fract_y
_atom_site_fract_z
Os1 0.0000 0.5000 0.0000
Os2 0.5000 0.0000 0.0000
Ru1 0.5000 0.5000 0.5000
Li1 0.0000 0.0000 0.5000
```

=====

LiOs2Ru at its PBEsol-relaxed geometry. Source: Alexandria, functional SCAN.

Calculated values
- magnetic moment (Bohr magnetons per cell) = 0.0
- N(E_F) (states/eV/atom) = 0.69
- calculated formation energy (eV per atom) = 0.205
- DFT total energy (hartree per atom) = -1.65515

```
data_LiOs2Ru
_chemical_formula_sum 'Li1 Os2 Ru1'
_symmetry_space_group_name_H-M 'P 1'
_symmetry_Int_Tables_number 1
_symmetry_space_group_name_Hall 'P 1'
_cell_length_a 2.6911
_cell_length_b 2.6911
_cell_length_c 9.0435
_cell_angle_alpha 81.44
_cell_angle_beta 81.44
_cell_angle_gamma 60.00
loop_
_atom_site_label
_atom_site_fract_x
_atom_site_fract_y
_atom_site_fract_z
Os1 0.0033 0.0033 0.9900
Os2 0.7505 0.7505 0.7486
Ru1 0.4965 0.4965 0.5104
Li1 0.2497 0.2497 0.2510
```

=====

LiOsRu2 at its PBEsol-relaxed geometry. Source: Alexandria, functional SCAN.

Calculated values
- magnetic moment (Bohr magnetons per cell) = 0.0
- ΔE to the lowest computed polymorph (kcal/mol of atoms) = 2.68
- N(E_F) (states/eV/atom) = 0.85
- calculated formation energy (eV per atom) = 0.293
- DFT total energy (hartree per atom) = -1.31149

```
data_LiOsRu2
_chemical_formula_sum 'Li1 Os1 Ru2'
_symmetry_space_group_name_H-M 'P 1'
_symmetry_Int_Tables_number 1
_symmetry_space_group_name_Hall 'P 1'
_cell_length_a 2.7888
_cell_length_b 4.3454
_cell_length_c 4.3454
_cell_angle_alpha 90.00
_cell_angle_beta 90.00
_cell_angle_gamma 90.00
loop_
_atom_site_label
_atom_site_fract_x
_atom_site_fract_y
_atom_site_fract_z
Li1 0.5000 0.5000 0.5000
Os1 0.5000 0.0000 0.0000
Ru1 0.0000 0.0000 0.5000
Ru2 0.0000 0.5000 0.0000
```

=====

LiOs2Ru at its PBEsol-relaxed geometry. Source: Alexandria, functional SCAN.

Calculated values
- magnetic moment (Bohr magnetons per cell) = 0.0
- N(E_F) (states/eV/atom) = 0.67
- calculated formation energy (eV per atom) = 0.177
- DFT total energy (hartree per atom) = -1.65619

```
data_LiOs2Ru
_chemical_formula_sum 'Li1 Os2 Ru1'
_symmetry_space_group_name_H-M 'P 1'
_symmetry_Int_Tables_number 1
_symmetry_space_group_name_Hall 'P 1'
_cell_length_a 2.6777
_cell_length_b 2.6777
_cell_length_c 9.0644
_cell_angle_alpha 81.51
_cell_angle_beta 81.51
_cell_angle_gamma 60.00
loop_
_atom_site_label
_atom_site_fract_x
_atom_site_fract_y
_atom_site_fract_z
Os1 0.7536 0.7536 0.7393
Os2 0.2464 0.2464 0.2607
Li1 0.0000 0.0000 0.0000
Ru1 0.5000 0.5000 0.5000
```

=====

Li2OsRu at its PBEsol-relaxed geometry. Source: Alexandria, functional SCAN.

Calculated values
- magnetic moment (Bohr magnetons per cell) = 0.0
- ΔE to the lowest computed polymorph (kcal/mol of atoms) = 1.01
- N(E_F) (states/eV/atom) = 0.93
- calculated formation energy (eV per atom) = 0.185
- DFT total energy (hartree per atom) = -1.01746

```
data_Li2OsRu
_chemical_formula_sum 'Li2 Os1 Ru1'
_symmetry_space_group_name_H-M 'P 1'
_symmetry_Int_Tables_number 1
_symmetry_space_group_name_Hall 'P 1'
_cell_length_a 2.7759
_cell_length_b 2.7759
_cell_length_c 7.3668
_cell_angle_alpha 90.00
_cell_angle_beta 90.00
_cell_angle_gamma 90.00
loop_
_atom_site_label
_atom_site_fract_x
_atom_site_fract_y
_atom_site_fract_z
Li1 0.0000 0.0000 0.9860
Li2 0.5000 0.5000 0.2638
Os1 0.0000 0.0000 0.5167
Ru1 0.5000 0.5000 0.7335
```

=====

Li2OsRu at its PBEsol-relaxed geometry. Source: Alexandria, functional SCAN.

Calculated values
- magnetic moment (Bohr magnetons per cell) = 0.0
- ΔE to the lowest computed polymorph (kcal/mol of atoms) = 0.00
- N(E_F) (states/eV/atom) = 0.57
- calculated formation energy (eV per atom) = 0.141
- DFT total energy (hartree per atom) = -1.01906

```
data_Li2OsRu
_chemical_formula_sum 'Li2 Os1 Ru1'
_symmetry_space_group_name_H-M 'P 1'
_symmetry_Int_Tables_number 1
_symmetry_space_group_name_Hall 'P 1'
_cell_length_a 2.5682
_cell_length_b 4.5773
_cell_length_c 5.2278
_cell_angle_alpha 115.05
_cell_angle_beta 102.71
_cell_angle_gamma 93.36
loop_
_atom_site_label
_atom_site_fract_x
_atom_site_fract_y
_atom_site_fract_z
Li1 0.0000 0.0000 0.5000
Li2 0.5000 0.5000 0.5000
Os1 0.5000 0.0000 0.0000
Ru1 0.0000 0.5000 0.0000
```

=====

Li2OsS at its PBEsol-relaxed geometry. Source: Alexandria, functional SCAN.

Calculated values
- magnetic moment (Bohr magnetons per cell) = 1.4
- N(E_F) (states/eV/atom) = 0.30
- energy relative to the elements, uncorrected (eV per atom) = 0.0466
- DFT total energy (hartree per atom) = -0.79104

```
data_Li2OsS
_chemical_formula_sum 'Li4 Os2 S2'
_symmetry_space_group_name_H-M 'P 1'
_symmetry_Int_Tables_number 1
_symmetry_space_group_name_Hall 'P 1'
_cell_length_a 4.3943
_cell_length_b 5.5544
_cell_length_c 5.5544
_cell_angle_alpha 81.00
_cell_angle_beta 66.70
_cell_angle_gamma 66.70
loop_
_atom_site_label
_atom_site_fract_x
_atom_site_fract_y
_atom_site_fract_z
S1 0.5000 0.0000 0.0000
S2 0.2500 0.5000 0.5000
Li1 0.1783 0.9467 0.4467
Li2 0.3750 0.4467 0.0533
Li3 0.8750 0.5533 0.9467
Li4 0.5717 0.0533 0.5533
Os1 0.7500 0.5000 0.5000
Os2 0.0000 0.0000 0.0000
```